# 1
# Sm6SnIr2I3 | Alexandria | PBE-GGA | optimized geometry
data_Sm6SnIr2I3
_chemical_formula_sum 'Sm12 Sn2 Ir4 I6'
_symmetry_space_group_name_H-M 'C 1 2/m 1'
_symmetry_Int_Tables_number 12
_cell_length_a 7.441
_cell_length_b 12.847
_cell_length_c 8.357
_cell_angle_alpha 90.00
_cell_angle_beta 107.34
_cell_angle_gamma 90.00
loop_
_symmetry_equiv_pos_as_xyz
'x,y,z'
'-x,-y,-z'
'-x,y,-z'
'x,-y,z'
'x+1/2,y+1/2,z'
'-x+1/2,-y+1/2,-z'
'-x+1/2,y+1/2,-z'
'x+1/2,-y+1/2,z'
loop_
_atom_site_label
_atom_site_type_symbol
_atom_site_fract_x
_atom_site_fract_y
_atom_site_fract_z
Sm1 Sm 0.200 0.000 0.191
Sm2 Sm 0.248 0.318 0.193
Sn1 Sn 0.000 0.500 0.000
Ir1 Ir 0.000 0.167 0.000
I1 I 0.000 0.000 0.500
I2 I 0.000 0.340 0.500
# magnetic moment	0.00	μB per atom
# N(E_F)	14.85	states/eV/cell
# E	-5.461	eV/atom
# uncorrected formation energy	-0.90	eV/atom



# 2
# TbSmIrI | Alexandria | PBE-GGA | optimized geometry
data_TbSmIrI
_chemical_formula_sum 'Tb3 Sm3 Ir3 I3'
_symmetry_space_group_name_H-M 'R 3 m'
_symmetry_Int_Tables_number 160
_symmetry_space_group_name_Hall 'R 3 -2"'
_cell_length_a 4.1570
_cell_length_b 4.1570
_cell_length_c 23.9657
_cell_angle_alpha 90.00
_cell_angle_beta 90.00
_cell_angle_gamma 120.00
loop_
_atom_site_label
_atom_site_type_symbol
_atom_site_fract_x
_atom_site_fract_y
_atom_site_fract_z
Tb1 Tb 0.0000 0.0000 0.0000
Sm1 Sm 0.0000 0.0000 0.7868
Ir1 Ir 0.0000 0.0000 0.3920
I1 I 0.0000 0.0000 0.5627
# magnetic moment	0.00	μB per atom
# N(E_F)	1.93	states/eV/cell
# E	-5.902	eV/atom
# uncorrected formation energy	-0.96	eV/atom



# 3
# Sm8TeIr3I4 | Alexandria | PBE-GGA | optimized geometry
data_Sm8TeIr3I4
_chemical_formula_sum 'Sm24 Te3 Ir9 I12'
_symmetry_space_group_name_H-M 'R -3 m'
_symmetry_Int_Tables_number 166
_symmetry_space_group_name_Hall '-R 3 2"'
_cell_length_a 8.6057
_cell_length_b 8.6057
_cell_length_c 23.7952
_cell_angle_alpha 90.00
_cell_angle_beta 90.00
_cell_angle_gamma 120.00
loop_
_atom_site_label
_atom_site_type_symbol
_atom_site_fract_x
_atom_site_fract_y
_atom_site_fract_z
Sm1 Sm 0.0000 0.0000 0.2275
Sm2 Sm 0.0317 0.5158 0.7705
Te1 Te 0.0000 0.0000 0.5000
Ir1 Ir 0.0000 0.5000 0.5000
I1 I 0.0000 0.0000 0.0000
I2 I 0.0000 0.5000 0.0000
# magnetic moment	0.00	μB per atom
# N(E_F)	23.17	states/eV/cell
# E	-5.590	eV/atom
# uncorrected formation energy	-0.98	eV/atom



# 4
# SmTmIrI | Alexandria | PBE-GGA | optimized geometry
data_SmTmIrI
_chemical_formula_sum 'Sm3 Tm3 Ir3 I3'
_symmetry_space_group_name_H-M 'R 3 m'
_symmetry_Int_Tables_number 160
_symmetry_space_group_name_Hall 'R 3 -2"'
_cell_length_a 4.1336
_cell_length_b 4.1336
_cell_length_c 23.7895
_cell_angle_alpha 90.00
_cell_angle_beta 90.00
_cell_angle_gamma 120.00
loop_
_atom_site_label
_atom_site_type_symbol
_atom_site_fract_x
_atom_site_fract_y
_atom_site_fract_z
Sm1 Sm 0.0000 0.0000 0.0000
Tm1 Tm 0.0000 0.0000 0.2141
Ir1 Ir 0.0000 0.0000 0.6041
I1 I 0.0000 0.0000 0.7758
# magnetic moment	0.00	μB per atom
# N(E_F)	1.23	states/eV/cell
# E	-5.854	eV/atom
# uncorrected formation energy	-0.95	eV/atom



Look up the uncorrected formation energy of the first one. -0.90 eV/atom